[1]
Sc3InIr: optimized geometry, PBE-GGA.

The structure in extended XYZ format:
```
5
Lattice="5.0361 0.0000 0.0000 0.0000 5.0361 0.0000 0.0000 0.0000 5.0361" Properties=species:S:1:pos:R:3 pbc="T T T"
Ir 0.0000 0.0000 0.0000
Sc 2.5180 0.0000 0.0000
Sc 0.0000 0.0000 2.5180
Sc 0.0000 2.5180 0.0000
In 2.5180 2.5180 2.5180
```

Symmetry: No. 221
Energy of formation from the pure elements: -0.33 eV/atom
Calculated total energy: -32.2 eV for the cell shown
Size of the total moment: 0.00 μB/atom



[2]
Ho2ZrHg6: optimized geometry, PBE-GGA.

The structure in extended XYZ format:
```
18
Lattice="-4.1697 1.4546 -3.0359 1.7069 -5.4451 -7.1227 -5.3688 -7.1647 1.7715" Properties=species:S:1:pos:R:3 pbc="T T T"
Hg -3.4918 -9.1280 -6.3865
Hg -0.0648 -3.8490 -6.3224
Hg -7.4143 -4.4012 -1.2226
Hg -3.0743 -6.0912 -5.5904
Hg -0.4174 -6.7539 -7.1645
Hg -7.0329 -5.8193 -4.7530
Hg -4.3399 -2.0271 -2.0006
Hg -7.7669 -7.3061 -2.0647
Hg -0.7988 -5.3358 -3.6341
Hg -4.7574 -5.0639 -2.7967
Hg -7.3331 -8.8275 -5.6966
Hg -0.4986 -2.3276 -2.6905
Zr -5.6302 -6.6112 0.0308
Zr -2.2015 -4.5439 -8.4179
Ho -2.4391 -4.3024 -0.9315
Ho -5.3925 -6.8527 -7.4556
Ho -5.0612 -8.0062 -3.7335
Ho -2.7705 -3.1489 -4.6536
```

Symmetry: No. 15
Energy of formation from the pure elements: -0.25 eV/atom
Calculated total energy: -43.5 eV for the cell shown
Size of the total moment: 0.00 μB/atom



[3]
Tb2Si3GeIr4: optimized geometry, PBE-GGA.

The structure in extended XYZ format:
```
10
Lattice="4.1648 0.0000 0.0000 0.0000 4.1648 0.0000 0.0000 0.0000 9.9112" Properties=species:S:1:pos:R:3 pbc="T T T"
Ir 0.0000 0.0000 0.0000
Ir 0.0000 2.0824 3.6418
Ir 2.0824 2.0824 0.0000
Ir 2.0824 0.0000 6.2694
Tb 2.0824 0.0000 2.5082
Tb 0.0000 2.0824 7.4029
Si 2.0824 0.0000 8.6279
Si 0.0000 2.0824 1.2832
Si 0.0000 0.0000 4.9556
Ge 2.0824 2.0824 4.9556
```

Formation energy from raw total energies: -0.991 eV per atom
Symmetry: No. 115
Calculated total energy: -75.5 eV for the cell shown
Size of the total moment: 0.00 μB/atom



[4]
FeRe3P: optimized geometry, PBE-GGA.

The structure in extended XYZ format:
```
5
Lattice="-0.6874 3.6523 2.1971 -4.2567 -0.7012 -0.1662 0.2163 -2.1927 3.7127" Properties=species:S:1:pos:R:3 pbc="T T T"
Fe -2.3639 0.3792 2.8718
Re 0.1081 -1.0963 1.8563
Re -0.3437 1.8261 1.0985
Re -2.1283 -0.3506 -0.0831
P 0.0000 0.0000 0.0000
```

Symmetry: No. 221
Energy of formation from the pure elements: 1.22 eV/atom
Calculated total energy: -45.1 eV for the cell shown
Size of the total moment: 0.00 μB/atom



[5]
FeNiRh: optimized geometry, PBE-GGA.

The structure in extended XYZ format:
```
6
Lattice="-3.7874 -1.3721 0.0676 1.4453 -4.1080 -2.4067 2.5890 -1.0653 3.3731" Properties=species:S:1:pos:R:3 pbc="T T T"
Rh 0.0305 -2.9217 2.4337
Rh 0.2164 -3.6237 -1.3998
Fe 0.6544 -4.7269 0.7463
Fe -0.4075 -1.8185 0.2877
Ni 1.2945 -0.5326 1.6865
Ni 2.0171 -2.5866 0.4832
```

Symmetry: No. 63
Energy of formation from the pure elements: 0.06 eV/atom
Calculated total energy: -42.8 eV for the cell shown
Size of the total moment: 1.54 μB/atom



[6]
SrLaAg2: optimized geometry, PBE-GGA.

The structure in extended XYZ format:
```
4
Lattice="4.5092 -0.0012 0.0031 2.2646 3.8993 0.0031 2.2405 1.2893 7.5831" Properties=species:S:1:pos:R:3 pbc="T T T"
Ag 6.7737 3.8981 0.1122
Ag 4.5073 2.5938 3.6886
Sr 6.7607 3.8906 5.6919
La 2.2536 1.2969 1.8973
```

Symmetry: No. 12
Energy of formation from the pure elements: -0.13 eV/atom
Calculated total energy: -12.8 eV for the cell shown
Size of the total moment: 0.00 μB/atom



[7]
Ac2PaAl3Ga12: optimized geometry, PBE-GGA.

The structure in extended XYZ format:
```
18
Lattice="0.9197 -9.5158 -8.5649 6.5614 -7.1233 -8.4238 4.8314 -11.1488 -4.1372" Properties=species:S:1:pos:R:3 pbc="T T T"
Ga 7.1200 -16.1783 -10.3594
Ga 8.6145 -19.3184 -16.8707
Ga 4.5689 -6.4434 -6.4127
Ga 5.3706 -15.4480 -12.3395
Ga 10.5833 -20.1403 -14.6422
Ga 1.7293 -7.6475 -6.4837
Ga 6.9420 -12.3398 -8.7864
Ga 7.8936 -14.3780 -12.2764
Ga 7.7437 -21.3444 -14.7132
Ga 4.4190 -13.4098 -8.8496
Ga 5.1926 -11.6095 -10.7666
Ga 3.6981 -8.4694 -4.2552
Al 2.4157 -5.5744 -2.0686
Al 0.4599 -4.7579 -4.2825
Al 3.2807 -3.5616 -4.2119
Ac 4.4232 -9.9826 -7.5893
Ac 7.8894 -17.8052 -13.5366
Pa 0.0000 0.0000 0.0000
```

Symmetry: No. 166
Energy of formation from the pure elements: -0.07 eV/atom
Calculated total energy: -66.6 eV for the cell shown
Size of the total moment: 0.00 μB/atom



[8]
YTeRu3: optimized geometry, PBE-GGA.

The structure in extended XYZ format:
```
5
Lattice="-1.1241 0.3401 -4.8024 1.6764 -4.5953 -0.7178 -4.5131 -1.7917 0.9295" Properties=species:S:1:pos:R:3 pbc="T T T"
Te -1.9804 -3.0234 -2.2954
Ru 0.8382 -2.2976 -0.3589
Ru -0.5620 0.1700 -2.4012
Ru -2.2566 -0.8958 0.4647
Y 0.0000 0.0000 0.0000
```

Formation energy from raw total energies: 1.829 eV per atom
Symmetry: No. 221
Calculated total energy: -28.3 eV for the cell shown
Size of the total moment: 0.93 μB/atom



[9]
HfBeRhPb2: optimized geometry, PBE-GGA.

The structure in extended XYZ format:
```
5
Lattice="5.6745 0.0000 0.0000 0.0000 4.7308 0.0000 0.0000 0.0000 5.6745" Properties=species:S:1:pos:R:3 pbc="T T T"
Pb 2.8372 0.0000 0.0000
Pb 0.0000 0.0000 2.8372
Hf 0.0000 0.0000 0.0000
Rh 0.0000 2.3654 0.0000
Be 2.8372 2.3654 2.8372
```

Symmetry: No. 123
Energy of formation from the pure elements: 1.12 eV/atom
Calculated total energy: -22.8 eV for the cell shown
Size of the total moment: 0.00 μB/atom



[10]
La2MgInSe5: optimized geometry, PBE-GGA.

The structure in extended XYZ format:
```
18
Lattice="4.1699 0.0000 0.0000 -2.0849 8.8230 0.0000 0.0000 0.0000 12.7445" Properties=species:S:1:pos:R:3 pbc="T T T"
Se 0.0000 0.9138 1.0345
Se 2.0849 0.1322 3.3590
Se 0.0000 5.0302 8.4197
Se 0.0000 5.5001 4.6077
Se 2.0849 2.4460 6.3412
Se 0.0000 6.3770 12.7134
Se 2.0849 7.9092 7.4067
Se 0.0000 8.6908 9.7313
Se 2.0849 3.7928 2.0474
Se 2.0849 3.3228 10.9800
In 0.0000 8.0363 5.8142
In 2.0849 0.7867 12.1865
La 0.0000 2.4385 3.9072
La 2.0849 6.7838 2.3149
La 2.0849 6.3845 10.2795
La 0.0000 2.0392 8.6872
Mg 2.0849 5.1190 6.5641
Mg 0.0000 3.7040 0.1918
```

Formation energy from raw total energies: -1.403 eV per atom
Symmetry: No. 36
Calculated total energy: -88.5 eV for the cell shown
Size of the total moment: 0.00 μB/atom



[11]
PmTiO4: optimized geometry, PBE-GGA.

The structure in extended XYZ format:
```
12
Lattice="-0.6326 3.4109 1.8586 -3.1579 1.8258 -4.4254 -6.0696 -2.8459 3.1571" Properties=species:S:1:pos:R:3 pbc="T T T"
Ti -1.4697 2.0537 -0.9742
Ti -5.5396 2.7518 0.5263
O -5.7236 -0.6370 2.5153
O -4.5185 2.1612 1.9571
O -1.7000 3.7093 0.0753
O -2.4907 2.6438 -2.4052
O -7.3551 2.5960 0.1936
O -1.9561 1.1295 0.5556
O -5.3091 1.0957 -0.5235
O -5.0530 3.6754 -1.0038
Pm -3.5034 0.0519 2.0071
Pm -3.5057 4.7534 -2.4550
```

Formation energy from raw total energies: -2.802 eV per atom
Symmetry: No. 59
Calculated total energy: -98.6 eV for the cell shown
Size of the total moment: 0.17 μB/atom



[12]
CaLa3Ir: optimized geometry, PBE-GGA.

The structure in extended XYZ format:
```
10
Lattice="-1.0745 -5.0420 -4.2865 5.7944 3.8714 -3.0648 2.5943 -6.1526 3.6545" Properties=species:S:1:pos:R:3 pbc="T T T"
La 3.4265 1.5088 -1.7927
La 1.2250 -3.3439 1.5257
La 5.5512 -4.8974 -1.6931
La 1.9590 -3.9146 -1.9472
La 0.3468 0.0800 -0.2736
La 2.8366 -7.3383 -0.1460
Ca 4.3365 -1.7534 0.1919
Ca 4.6425 -1.6343 -3.6776
Ir 5.4317 1.2022 -3.9430
Ir 3.5465 -4.5895 0.4570
```

Symmetry: No. 12
Energy of formation from the pure elements: -0.34 eV/atom
Calculated total energy: -54.7 eV for the cell shown
Size of the total moment: 0.00 μB/atom



Number 5 is which compound?
FeNiRh